The following is a PBE calculation of a geometry-optimized PmCo5 structure, from the Alexandria database.

Computed properties:
Symmetry: Cmmm
Energy relative to the elements in meV per atom: 181

Unit cell a=3.814 b=3.805 c=6.034 alpha=108.38 beta=90.00 gamma=90.00
Site moments in Bohr magnetons follow the coordinates.
Sites, in units of the cell vectors:
Pm1 0.000 0.000 0.000  -0.23
Co1 0.500 0.812 0.623  1.49
Co2 0.000 0.688 0.377  1.59
Co3 0.500 0.500 0.000  0.83
Co4 0.000 0.312 0.623  1.59
Co5 0.500 0.188 0.377  1.49

---

The following is a PBE calculation of a geometry-optimized Pm5Co6 structure, from the Alexandria database.

Computed properties:
Symmetry: Cmmm
Energy relative to the elements in meV per atom: -99

Unit cell a=4.148 b=3.941 c=14.037 alpha=98.07 beta=90.00 gamma=90.00
Site moments in Bohr magnetons follow the coordinates.
Sites, in units of the cell vectors:
Pm1 0.500 0.805 0.610  -0.12
Pm2 0.500 0.195 0.390  -0.12
Pm3 0.000 0.614 0.228  -0.15
Pm4 0.000 0.386 0.772  -0.15
Pm5 0.000 0.000 0.000  -0.12
Co1 0.500 0.541 0.083  0.81
Co2 0.500 0.459 0.917  0.81
Co3 0.000 0.729 0.459  0.51
Co4 0.000 0.271 0.541  0.51
Co5 0.500 0.918 0.837  0.69
Co6 0.500 0.082 0.163  0.69

---

The following is a PBE calculation of a geometry-optimized Pm4Co structure, from the Alexandria database.

Computed properties:
Symmetry: Pm-3m
Relative energy among the computed polymorphs in meV per atom: 65.4
Energy relative to the elements in meV per atom: 70

Unit cell a=5.428 b=5.428 c=5.428 alpha=90.00 beta=90.00 gamma=90.00
Site moments in Bohr magnetons follow the coordinates.
Sites, in units of the cell vectors:
Co1 0.500 0.500 0.500  0.17
Pm1 0.000 0.000 0.000  0.30
Pm2 0.500 0.000 0.500  0.09
Pm3 0.000 0.500 0.500  0.09
Pm4 0.500 0.500 0.000  0.09

---

The following is a PBE calculation of a geometry-optimized Pm4Co structure, from the Alexandria database.

Computed properties:
Symmetry: Fdd2
Relative energy among the computed polymorphs in meV per atom: 0.0
Energy relative to the elements in meV per atom: 5

Unit cell a=7.486 b=7.358 c=7.614 alpha=75.52 beta=60.55 gamma=59.42
Sites, in units of the cell vectors:
Pm1 0.441 0.742 0.835
Pm2 0.018 0.258 0.165
Pm3 0.028 0.240 0.665
Pm4 0.933 0.760 0.335
Pm5 0.518 0.260 0.165
Pm6 0.943 0.740 0.835
Pm7 0.526 0.242 0.665
Pm8 0.433 0.758 0.335
Co1 0.232 0.500 0.500
Co2 0.982 0.000 0.000

---

The following is a PBE calculation of a geometry-optimized Pm5Co3 structure, from the Alexandria database.

Computed properties:
Symmetry: I4/mcm
Energy relative to the elements in meV per atom: -44

Unit cell a=7.276 b=7.276 c=14.424 alpha=90.00 beta=90.00 gamma=90.00
Sites, in units of the cell vectors:
Pm1 0.821 0.821 0.607
Pm2 0.179 0.821 0.107
Pm3 0.179 0.821 0.393
Pm4 0.000 0.500 0.750
Pm5 0.821 0.179 0.393
Pm6 0.679 0.679 0.393
Pm7 0.679 0.321 0.607
Pm8 0.321 0.679 0.607
Pm9 0.000 0.500 0.250
Pm10 0.679 0.679 0.107
Pm11 0.679 0.321 0.893
Pm12 0.821 0.821 0.893
Pm13 0.321 0.321 0.393
Pm14 0.179 0.179 0.607
Pm15 0.821 0.179 0.107
Pm16 0.321 0.679 0.893
Pm17 0.321 0.321 0.107
Pm18 0.500 0.000 0.250
Pm19 0.179 0.179 0.893
Pm20 0.500 0.000 0.750
Co1 0.611 0.389 0.250
Co2 0.111 0.889 0.750
Co3 0.389 0.389 0.750
Co4 0.389 0.611 0.250
Co5 0.889 0.889 0.250
Co6 0.611 0.611 0.750
Co7 0.000 0.500 0.500
Co8 0.889 0.111 0.750
Co9 0.500 0.000 0.500
Co10 0.500 0.000 0.000
Co11 0.111 0.111 0.250
Co12 0.000 0.500 0.000

---

The following is a PBE calculation of a geometry-optimized Pm4Co structure, from the Alexandria database.

Computed properties:
Symmetry: P4/nbm
Relative energy among the computed polymorphs in meV per atom: 97.9
Energy relative to the elements in meV per atom: 103

Unit cell a=6.474 b=6.778 c=6.778 alpha=90.00 beta=90.00 gamma=90.00
Sites, in units of the cell vectors:
Pm1 0.240 0.678 0.822
Pm2 0.240 0.822 0.322
Pm3 0.760 0.178 0.322
Pm4 0.760 0.822 0.678
Pm5 0.760 0.678 0.178
Pm6 0.760 0.322 0.822
Pm7 0.240 0.322 0.178
Pm8 0.240 0.178 0.678
Co1 0.000 0.500 0.500
Co2 0.000 0.000 0.000

---

The following is a PBE calculation of a geometry-optimized Pm2Co structure, from the Alexandria database.

Computed properties:
Symmetry: C2/m
Relative energy among the computed polymorphs in meV per atom: 0.0
Energy relative to the elements in meV per atom: -80

Unit cell a=3.749 b=6.547 c=7.030 alpha=75.67 beta=74.54 gamma=73.36
Sites, in units of the cell vectors:
Pm1 0.578 0.231 0.613
Pm2 0.422 0.769 0.387
Pm3 0.177 0.733 0.912
Pm4 0.823 0.267 0.088
Co1 0.116 0.462 0.306
Co2 0.884 0.538 0.694

---

The following is a PBE calculation of a geometry-optimized Pm5Co2 structure, from the Alexandria database.

Computed properties:
Symmetry: C2/c
Energy relative to the elements in meV per atom: -92

Unit cell a=6.451 b=7.044 c=8.896 alpha=95.93 beta=111.26 gamma=90.00
Sites, in units of the cell vectors:
Pm1 0.199 0.414 0.190
Pm2 0.009 0.086 0.810
Pm3 0.217 0.682 0.572
Pm4 0.645 0.818 0.428
Pm5 0.783 0.318 0.428
Pm6 0.355 0.182 0.572
Pm7 0.991 0.914 0.190
Pm8 0.801 0.586 0.810
Pm9 0.568 0.250 0.000
Pm10 0.432 0.750 0.000
Co1 0.181 0.426 0.778
Co2 0.403 0.074 0.222
Co3 0.819 0.574 0.222
Co4 0.597 0.926 0.778

---

The following is a PBE calculation of a geometry-optimized Pm7Co3 structure, from the Alexandria database.

Computed properties:
Symmetry: P6_3mc
Energy relative to the elements in meV per atom: -70

Unit cell a=6.283 b=9.807 c=9.807 alpha=120.00 beta=90.00 gamma=90.00
Sites, in units of the cell vectors:
Pm1 0.156 0.667 0.333
Pm2 0.656 0.333 0.667
Pm3 0.930 0.875 0.749
Pm4 0.930 0.875 0.125
Pm5 0.930 0.251 0.125
Pm6 0.430 0.125 0.251
Pm7 0.430 0.125 0.875
Pm8 0.430 0.749 0.875
Pm9 0.115 0.460 0.920
Pm10 0.115 0.460 0.540
Pm11 0.115 0.080 0.540
Pm12 0.615 0.540 0.080
Pm13 0.615 0.540 0.460
Pm14 0.615 0.920 0.460
Co1 0.873 0.188 0.376
Co2 0.873 0.188 0.812
Co3 0.873 0.624 0.812
Co4 0.373 0.812 0.624
Co5 0.373 0.812 0.188
Co6 0.373 0.376 0.188

---

The following is a PBE calculation of a geometry-optimized Pm2Co3 structure, from the Alexandria database.

Computed properties:
Symmetry: Immm
Energy relative to the elements in meV per atom: -80

Unit cell a=4.224 b=4.865 c=5.564 alpha=115.92 beta=112.31 gamma=90.00
Site moments in Bohr magnetons follow the coordinates.
Sites, in units of the cell vectors:
Pm1 0.190 0.690 0.380  -0.14
Pm2 0.810 0.310 0.620  -0.14
Co1 0.500 0.255 0.000  1.14
Co2 0.500 0.745 0.000  1.14
Co3 0.000 0.000 0.000  1.23

---

The following is a PBE calculation of a geometry-optimized Pm4Pr3Co4 structure, from the Alexandria database.

Computed properties:
Symmetry: Immm
Energy relative to the elements in meV per atom: 53

Unit cell a=3.787 b=9.045 c=9.310 alpha=119.06 beta=101.73 gamma=90.00
Sites, in units of the cell vectors:
Pm1 0.334 0.148 0.669
Pm2 0.666 0.479 0.331
Pm3 0.666 0.852 0.331
Pm4 0.334 0.521 0.669
Pr1 0.101 0.101 0.203
Pr2 0.899 0.899 0.797
Pr3 0.000 0.500 0.000
Co1 0.247 0.747 0.494
Co2 0.753 0.253 0.506
Co3 0.500 0.774 0.000
Co4 0.500 0.226 0.000

---

The following is a PBE calculation of a geometry-optimized PmPr4Co2 structure, from the Alexandria database.

Computed properties:
Symmetry: P2_1/m
Relative energy among the computed polymorphs in meV per atom: 0.0
Energy relative to the elements in meV per atom: 10

Unit cell a=6.808 b=9.045 c=7.080 alpha=113.03 beta=90.00 gamma=90.00
Sites, in units of the cell vectors:
Pr1 0.500 0.434 0.717
Pr2 0.250 0.207 0.230
Pr3 0.750 0.793 0.770
Pr4 0.000 0.434 0.717
Pr5 0.750 0.000 0.331
Pr6 0.000 0.566 0.283
Pr7 0.500 0.566 0.283
Pr8 0.250 0.000 0.669
Co1 0.250 0.336 0.963
Co2 0.750 0.664 0.037
Co3 0.750 0.336 0.373
Co4 0.250 0.664 0.627
Pm1 0.250 0.790 0.021
Pm2 0.750 0.210 0.979

---

The following is a PBE calculation of a geometry-optimized PmPr2Co6 structure, from the Alexandria database.

Computed properties:
Symmetry: P6/mmm
Energy relative to the elements in meV per atom: -64

Unit cell a=4.243 b=6.762 c=6.762 alpha=120.00 beta=90.00 gamma=90.00
Site moments in Bohr magnetons follow the coordinates.
Sites, in units of the cell vectors:
Pm1 0.000 0.000 0.000  -0.12
Pr1 0.000 0.333 0.667  -0.11
Pr2 0.000 0.667 0.333  -0.11
Co1 0.500 0.332 0.332  0.90
Co2 0.500 0.668 0.668  0.90
Co3 0.500 0.000 0.668  0.90
Co4 0.500 0.668 0.000  0.90
Co5 0.500 0.332 0.000  0.90
Co6 0.500 0.000 0.332  0.90

---

The following is a PBE calculation of a geometry-optimized Pm5PrCo2 structure, from the Alexandria database.

Computed properties:
Symmetry: Immm
Energy relative to the elements in meV per atom: 18

Unit cell a=4.004 b=9.109 c=9.109 alpha=46.72 beta=77.30 gamma=77.30
Sites, in units of the cell vectors:
Pm1 0.000 0.500 0.500
Pm2 0.661 0.589 0.088
Pm3 0.339 0.411 0.912
Pm4 0.339 0.912 0.411
Pm5 0.661 0.088 0.589
Pr1 0.000 0.000 0.000
Co1 0.821 0.679 0.679
Co2 0.179 0.321 0.321

---

The following is a PBE calculation of a geometry-optimized PmPr4Co2 structure, from the Alexandria database.

Computed properties:
Symmetry: Cmmm
Relative energy among the computed polymorphs in meV per atom: 164.4
Energy relative to the elements in meV per atom: 175

Unit cell a=4.773 b=4.833 c=8.894 alpha=105.77 beta=90.00 gamma=90.00
Site moments in Bohr magnetons follow the coordinates.
Sites, in units of the cell vectors:
Pm1 0.000 0.000 0.000  -0.12
Pr1 0.500 0.835 0.671  -0.04
Pr2 0.000 0.659 0.317  -0.05
Pr3 0.500 0.165 0.329  -0.04
Pr4 0.000 0.341 0.683  -0.05
Co1 0.500 0.564 0.129  0.81
Co2 0.500 0.436 0.871  0.81

---

The following is a PBE calculation of a geometry-optimized Pm3PrCo2 structure, from the Alexandria database.

Computed properties:
Symmetry: C2/m
Relative energy among the computed polymorphs in meV per atom: 0.0
Energy relative to the elements in meV per atom: -59

Unit cell a=3.795 b=8.721 c=10.243 alpha=79.73 beta=79.32 gamma=77.43
Sites, in units of the cell vectors:
Pm1 0.159 0.934 0.748
Pm2 0.841 0.066 0.252
Pm3 0.415 0.224 0.947
Pm4 0.585 0.776 0.053
Pm5 0.586 0.272 0.557
Pm6 0.414 0.728 0.443
Pr1 0.843 0.564 0.750
Pr2 0.157 0.436 0.250
Co1 0.235 0.577 0.953
Co2 0.765 0.423 0.047
Co3 0.766 0.922 0.546
Co4 0.234 0.078 0.454

---

The following is a PBE calculation of a geometry-optimized PmPr3Co structure, from the Alexandria database.

Computed properties:
Symmetry: Pmn2_1
Relative energy among the computed polymorphs in meV per atom: 71.2
Energy relative to the elements in meV per atom: 28

Unit cell a=6.361 b=6.557 c=7.728 alpha=90.00 beta=90.00 gamma=90.00
Sites, in units of the cell vectors:
Pm1 0.426 0.335 0.701
Pm2 0.926 0.017 0.201
Pr1 0.424 0.331 0.201
Pr2 0.426 0.850 0.950
Pr3 0.926 0.503 0.450
Pr4 0.924 0.021 0.701
Pr5 0.926 0.503 0.951
Pr6 0.426 0.850 0.451
Co1 0.176 0.674 0.701
Co2 0.676 0.679 0.201

---

The following is a PBE calculation of a geometry-optimized PmPr4Co structure, from the Alexandria database.

Computed properties:
Symmetry: P4/mmm
Energy relative to the elements in meV per atom: 355

Unit cell a=4.854 b=4.854 c=8.972 alpha=90.00 beta=90.00 gamma=90.00
Site moments in Bohr magnetons follow the coordinates.
Sites, in units of the cell vectors:
Pm1 0.000 0.000 0.000  0.34
Pr1 0.500 0.000 0.313  0.01
Pr2 0.000 0.500 0.313  0.01
Pr3 0.000 0.500 0.687  0.01
Pr4 0.500 0.000 0.687  0.01
Co1 0.500 0.500 0.500  0.23

---

The following is a PBE calculation of a geometry-optimized Pm7PrCo2 structure, from the Alexandria database.

Computed properties:
Symmetry: Cmmm
Energy relative to the elements in meV per atom: 129

Unit cell a=5.187 b=8.460 c=8.460 alpha=117.84 beta=90.00 gamma=90.00
Sites, in units of the cell vectors:
Pm1 0.000 0.705 0.295
Pm2 0.000 0.295 0.705
Pm3 0.500 0.055 0.329
Pm4 0.500 0.945 0.671
Pm5 0.500 0.329 0.055
Pm6 0.500 0.671 0.945
Pm7 0.500 0.500 0.500
Pr1 0.000 0.000 0.000
Co1 0.500 0.698 0.302
Co2 0.500 0.302 0.698

---

The following is a PBE calculation of a geometry-optimized Pm2Pr4Co structure, from the Alexandria database.

Computed properties:
Symmetry: I4/mmm
Energy relative to the elements in meV per atom: 271

Unit cell a=5.268 b=5.268 c=9.650 alpha=74.16 beta=74.16 gamma=90.00
Sites, in units of the cell vectors:
Pr1 0.840 0.840 0.319
Pr2 0.160 0.160 0.681
Pr3 0.000 0.500 0.000
Pr4 0.500 0.000 0.000
Co1 0.000 0.000 0.000
Pm1 0.652 0.652 0.697
Pm2 0.348 0.348 0.303

---

The following is a PBE calculation of a geometry-optimized PmPrCo2 structure, from the Alexandria database.

Computed properties:
Symmetry: Pmc2_1
Relative energy among the computed polymorphs in meV per atom: 0.0
Energy relative to the elements in meV per atom: -56

Unit cell a=3.972 b=5.665 c=7.917 alpha=90.00 beta=90.00 gamma=90.00
Site moments in Bohr magnetons follow the coordinates.
Sites, in units of the cell vectors:
Pm1 0.000 0.142 0.678  -0.12
Pm2 0.000 0.858 0.178  -0.12
Pr1 0.500 0.357 0.324  -0.10
Pr2 0.500 0.643 0.824  -0.10
Co1 0.000 0.673 0.526  0.71
Co2 0.000 0.327 0.026  0.71
Co3 0.500 0.842 0.472  0.71
Co4 0.500 0.158 0.972  0.71

---

The following is a PBE calculation of a geometry-optimized Pm2PrCo structure, from the Alexandria database.

Computed properties:
Symmetry: Cmcm
Relative energy among the computed polymorphs in meV per atom: 20.7
Energy relative to the elements in meV per atom: -50

Unit cell a=3.752 b=6.395 c=9.893 alpha=90.00 beta=90.00 gamma=107.09
Sites, in units of the cell vectors:
Pm1 0.140 0.280 0.426
Pm2 0.860 0.720 0.574
Pm3 0.860 0.720 0.926
Pm4 0.140 0.280 0.074
Pr1 0.411 0.822 0.250
Pr2 0.589 0.178 0.750
Co1 0.736 0.472 0.250
Co2 0.264 0.528 0.750